[1]
{"formula": "BiO2", "functional": "GGA-PBE", "state": "relaxed", "lattice": [[-2.6305, 1.4769, 1.9050], [1.4022, -2.8129, 4.1170], [3.2030, 3.7804, 1.4920]], "species": ["Bi", "Bi", "O", "O", "O", "O"], "frac_coords": [[0.0000, 0.0000, 0.0000], [0.5000, 0.5000, 0.5000], [0.0000, 0.3084, 0.6929], [0.0000, 0.6916, 0.3071], [0.5000, 0.1916, 0.1929], [0.5000, 0.8084, 0.8071]], "energy_ev_per_atom": -5.58, "de_polymorph_mev_per_atom": 19.9, "formation_energy_uncorrected_mev_per_atom": -977, "sg": "P4_2/mnm", "magmom_total_mub_per_fu": 0.00}

***

[2]
{"formula": "PmInNiRh", "functional": "GGA-PBE", "state": "relaxed", "lattice": [[4.7461, 0.0000, 0.0000], [2.3731, 4.1103, 0.0000], [2.3731, 1.3701, 3.8752]], "species": ["Ni", "In", "Rh", "Pm"], "frac_coords": [[0.7500, 0.7500, 0.7500], [0.0000, 0.0000, 0.0000], [0.2500, 0.2500, 0.2500], [0.5000, 0.5000, 0.5000]], "energy_ev_per_atom": -5.59, "ef_mev_per_atom": -430, "sg": "F-43m", "magmom_total_mub_per_fu": 0.00}

***

[3]
{"formula": "CdGeBi2O6", "functional": "GGA-PBE", "state": "relaxed", "lattice": [[5.7131, 0.0000, 0.0000], [0.0000, 10.3649, 0.0000], [0.0000, 0.0000, 10.5776]], "species": ["Cd", "Cd", "Cd", "Cd", "Ge", "Ge", "Ge", "Ge", "Bi", "Bi", "Bi", "Bi", "Bi", "Bi", "Bi", "Bi", "O", "O", "O", "O", "O", "O", "O", "O", "O", "O", "O", "O", "O", "O", "O", "O", "O", "O", "O", "O", "O", "O", "O", "O"], "frac_coords": [[0.2500, 0.3857, 0.5000], [0.7500, 0.6143, 0.5000], [0.7500, 0.1143, 0.0000], [0.2500, 0.8857, 0.0000], [0.2500, 0.8458, 0.5000], [0.7500, 0.6542, 0.0000], [0.7500, 0.1542, 0.5000], [0.2500, 0.3458, 0.0000], [0.2150, 0.6070, 0.2413], [0.7850, 0.3930, 0.7587], [0.7150, 0.3930, 0.2413], [0.2150, 0.1070, 0.2587], [0.2850, 0.6070, 0.7587], [0.7850, 0.8930, 0.7413], [0.2850, 0.1070, 0.7413], [0.7150, 0.8930, 0.2587], [0.1256, 0.9436, 0.6221], [0.9647, 0.2501, 0.5786], [0.0135, 0.4704, 0.3536], [0.0353, 0.7499, 0.4214], [0.6256, 0.0564, 0.6221], [0.9865, 0.0296, 0.8536], [0.5135, 0.0296, 0.1464], [0.4865, 0.9704, 0.8536], [0.8744, 0.5564, 0.1221], [0.3744, 0.9436, 0.3779], [0.5353, 0.2501, 0.4214], [0.9865, 0.5296, 0.6464], [0.4647, 0.7499, 0.5786], [0.4865, 0.4704, 0.6464], [0.8744, 0.0564, 0.3779], [0.4647, 0.2499, 0.9214], [0.0353, 0.2499, 0.0786], [0.0135, 0.9704, 0.1464], [0.5135, 0.5296, 0.3536], [0.3744, 0.4436, 0.1221], [0.1256, 0.4436, 0.8779], [0.9647, 0.7501, 0.9214], [0.6256, 0.5564, 0.8779], [0.5353, 0.7501, 0.0786]], "energy_ev_per_atom": -5.67, "de_polymorph_mev_per_atom": 0.0, "formation_energy_uncorrected_mev_per_atom": -1367, "sg": "Pbcn", "magmom_total_mub_per_fu": 0.00}